Dy12Ho5Pu after structural relaxation, computed with GGA-PBE.

```
18
Lattice="3.066 -5.307 0.000 3.066 5.307 0.000 -2.059 0.000 17.130" Properties=species:S:1:pos:R:3 pbc="T T T"
Dy 1.009 3.538 11.449
Dy -0.005 1.748 14.314
Dy 1.048 0.000 2.817
Dy 3.065 3.538 5.681
Dy 1.008 0.000 11.430
Dy -0.005 -1.748 14.314
Dy 4.079 1.748 2.816
Dy 3.065 0.000 5.700
Dy 1.009 -3.538 11.449
Dy 3.026 0.000 14.313
Dy 4.079 -1.748 2.816
Dy 3.065 -3.538 5.681
Ho -1.030 0.000 8.565
Ho 3.066 3.538 0.000
Ho 2.037 1.767 8.565
Ho 2.037 -1.767 8.565
Ho 3.066 -3.538 0.000
Pu 3.066 0.000 0.000
```

Properties
ρ: 9.0 g/cm3
space-group type: C2/m, No. 12
energy relative to the elements: 23.8 meV/atom